PBE-GGA Ba3Tl2P2Pd4, relaxed; theoretical density = 7.373 g/cm³; E_form = -588 meV/atom
1.0
4.418 0.000 0.000
-2.209 3.826 0.000
0.000 0.000 17.429
Ba Tl P Pd
3 2 2 4
Direct
0.000 0.000 0.000
0.000 0.000 0.256
0.000 0.000 0.744
0.333 0.667 0.562
0.667 0.333 0.438
0.333 0.667 0.134
0.667 0.333 0.866
0.333 0.667 0.389
0.333 0.667 0.869
0.667 0.333 0.131
0.667 0.333 0.611


PBE-GGA Ba2MgCr, relaxed; theoretical density = 3.364 g/cm³; E_form = 604 meV/atom
1.0
4.403 0.000 0.000
-2.201 3.813 0.000
0.000 0.000 30.959
Ba Mg Cr
6 3 3
Direct
0.000 0.000 0.242
0.000 0.000 0.758
0.333 0.667 0.424
0.333 0.667 0.909
0.667 0.333 0.091
0.667 0.333 0.576
0.000 0.000 0.000
0.333 0.667 0.667
0.667 0.333 0.333
0.000 0.000 0.500
0.333 0.667 0.167
0.667 0.333 0.833


N(E_F) (computed, states/eV/atom): 0.52, 1.24
E_tot (computed, eV per atom): -4.415, -3.162
Magnetization (computed, μB per formula unit): 0.00, 4.22